Entry 1:
A plane-wave DFT calculation with PBE-GGA was carried out for a relaxed Cu3B5Pt9 crystal.

Summary:
Density in Mg/m³: 15.6
Calculated total energy in eV/f.u.: -102.813
Calculated volume in Å³/f.u.: 213
Space group: P-62m (189)

Lattice parameters (Å, degrees): 9.103 9.103 2.972 90.00 90.00 120.00
Element x y z (fractional)
B (0.333, 0.667, 0.000)
B (0.667, 0.333, 0.000)
B (0.188, 0.000, 0.500)
B (0.000, 0.188, 0.500)
B (0.812, 0.812, 0.500)
Pt (0.805, 0.267, 0.500)
Pt (0.195, 0.461, 0.500)
Pt (0.733, 0.539, 0.500)
Pt (0.177, 0.177, 0.000)
Pt (0.267, 0.805, 0.500)
Pt (0.000, 0.823, 0.000)
Pt (0.823, 0.000, 0.000)
Pt (0.539, 0.733, 0.500)
Pt (0.461, 0.195, 0.500)
Cu (0.000, 0.543, 0.000)
Cu (0.543, 0.000, 0.000)
Cu (0.457, 0.457, 0.000)


Entry 2:
A plane-wave DFT calculation with PBE-GGA was carried out for a relaxed CuB4Pt crystal.

Summary:
Offset from the most stable computed form in eV per atom: 0.033
Density in Mg/m³: 9.0
Calculated total energy in eV/f.u.: -33.879
Calculated volume in Å³/f.u.: 56
Space group: P6/mmm (191)

Lattice parameters (Å, degrees): 3.027 3.027 7.014 90.00 90.00 120.00
Element x y z (fractional)
B (0.333, 0.667, 0.241)
B (0.667, 0.333, 0.241)
B (0.333, 0.667, 0.759)
B (0.667, 0.333, 0.759)
Cu (0.000, 0.000, 0.000)
Pt (0.000, 0.000, 0.500)


Entry 3:
A plane-wave DFT calculation with PBE-GGA was carried out for a relaxed Cu2BPt crystal.

Summary:
Density in Mg/m³: 12.0
Calculated total energy in eV/f.u.: -18.905
Calculated volume in Å³/f.u.: 46
Space group: F-43m (216)

Lattice parameters (Å, degrees): 4.019 4.019 4.019 60.00 60.00 60.00
Element x y z (fractional)
Pt (0.250, 0.250, 0.250)
B (0.500, 0.500, 0.500)
Cu (0.750, 0.750, 0.750)
Cu (0.000, 0.000, 0.000)


Entry 4:
A plane-wave DFT calculation with PBE-GGA was carried out for a relaxed CuSiBPt crystal.

Summary:
Offset from the most stable computed form in eV per atom: 0.198
Density in Mg/m³: 9.8
Calculated total energy in eV/f.u.: -19.587
Calculated volume in Å³/f.u.: 50
Space group: F-43m (216)

Lattice parameters (Å, degrees): 4.145 4.145 4.145 60.00 60.00 60.00
Element x y z (fractional)
Cu (0.750, 0.750, 0.750)
B (0.000, 0.000, 0.000)
Si (0.250, 0.250, 0.250)
Pt (0.500, 0.500, 0.500)


Entry 5:
A plane-wave DFT calculation with PBE-GGA was carried out for a relaxed CuSiBPt crystal.

Summary:
Offset from the most stable computed form in eV per atom: 0.000
Density in Mg/m³: 10.3
Calculated total energy in eV/f.u.: -20.379
Calculated volume in Å³/f.u.: 48
Space group: F-43m (216)

Lattice parameters (Å, degrees): 4.074 4.074 4.074 60.00 60.00 60.00
Element x y z (fractional)
Cu (0.750, 0.750, 0.750)
B (0.500, 0.500, 0.500)
Pt (0.250, 0.250, 0.250)
Si (0.000, 0.000, 0.000)


Entry 6:
A plane-wave DFT calculation with PBE-GGA was carried out for a relaxed CuSnBPt crystal.

Summary:
Offset from the most stable computed form in eV per atom: 0.000
Density in Mg/m³: 11.2
Calculated total energy in eV/f.u.: -17.953
Calculated volume in Å³/f.u.: 58
Space group: F-43m (216)

Lattice parameters (Å, degrees): 4.335 4.335 4.335 60.00 60.00 60.00
Element x y z (fractional)
Cu (0.750, 0.750, 0.750)
Sn (0.000, 0.000, 0.000)
Pt (0.500, 0.500, 0.500)
B (0.250, 0.250, 0.250)


Entry 7:
A plane-wave DFT calculation with PBE-GGA was carried out for a relaxed CuTcBPt crystal.

Summary:
Offset from the most stable computed form in eV per atom: 0.000
Density in Mg/m³: 12.0
Calculated total energy in eV/f.u.: -24.547
Calculated volume in Å³/f.u.: 51
Space group: F-43m (216)

Lattice parameters (Å, degrees): 4.159 4.159 4.159 60.00 60.00 60.00
Element x y z (fractional)
Cu (0.750, 0.750, 0.750)
Pt (0.500, 0.500, 0.500)
Tc (0.250, 0.250, 0.250)
B (0.000, 0.000, 0.000)


Entry 8:
A plane-wave DFT calculation with PBE-GGA was carried out for a relaxed CuBPtW crystal.

Summary:
Offset from the most stable computed form in eV per atom: 0.000
Density in Mg/m³: 14.4
Calculated total energy in eV/f.u.: -27.139
Calculated volume in Å³/f.u.: 52
Space group: F-43m (216)

Lattice parameters (Å, degrees): 4.197 4.197 4.197 60.00 60.00 60.00
Element x y z (fractional)
Pt (0.500, 0.500, 0.500)
W (0.250, 0.250, 0.250)
B (0.000, 0.000, 0.000)
Cu (0.750, 0.750, 0.750)


Entry 9:
A plane-wave DFT calculation with PBE-GGA was carried out for a relaxed CuBPtW crystal.

Summary:
Offset from the most stable computed form in eV per atom: 0.294
Density in Mg/m³: 14.3
Calculated total energy in eV/f.u.: -25.963
Calculated volume in Å³/f.u.: 53
Space group: F-43m (216)

Lattice parameters (Å, degrees): 4.210 4.210 4.210 60.00 60.00 60.00
Element x y z (fractional)
B (0.000, 0.000, 0.000)
W (0.500, 0.500, 0.500)
Cu (0.750, 0.750, 0.750)
Pt (0.250, 0.250, 0.250)


Entry 10:
A plane-wave DFT calculation with PBE-GGA was carried out for a relaxed ZnCuBPt crystal.

Summary:
Offset from the most stable computed form in eV per atom: 0.238
Density in Mg/m³: 10.9
Calculated total energy in eV/f.u.: -15.616
Calculated volume in Å³/f.u.: 51
Space group: F-43m (216)

Lattice parameters (Å, degrees): 4.160 4.160 4.160 60.00 60.00 60.00
Element x y z (fractional)
Pt (0.500, 0.500, 0.500)
B (0.000, 0.000, 0.000)
Cu (0.750, 0.750, 0.750)
Zn (0.250, 0.250, 0.250)


Entry 11:
A plane-wave DFT calculation with PBE-GGA was carried out for a relaxed ZnCuBPt crystal.

Summary:
Offset from the most stable computed form in eV per atom: 0.000
Density in Mg/m³: 11.5
Calculated total energy in eV/f.u.: -16.567
Calculated volume in Å³/f.u.: 48
Space group: F-43m (216)

Lattice parameters (Å, degrees): 4.087 4.087 4.087 60.00 60.00 60.00
Element x y z (fractional)
Pt (0.250, 0.250, 0.250)
B (0.000, 0.000, 0.000)
Zn (0.500, 0.500, 0.500)
Cu (0.750, 0.750, 0.750)


Entry 12:
A plane-wave DFT calculation with PBE-GGA was carried out for a relaxed ZrCuBPt crystal.

Summary:
Offset from the most stable computed form in eV per atom: 0.255
Density in Mg/m³: 10.4
Calculated total energy in eV/f.u.: -24.659
Calculated volume in Å³/f.u.: 58
Space group: F-43m (216)

Lattice parameters (Å, degrees): 4.333 4.333 4.333 60.00 60.00 60.00
Element x y z (fractional)
Pt (0.250, 0.250, 0.250)
Zr (0.500, 0.500, 0.500)
B (0.000, 0.000, 0.000)
Cu (0.750, 0.750, 0.750)